No. 1
VAgO3 | PBEsol | optimized geometry

ΔE_f (raw) ... -796.9 kJ/mol of formula units
Total energy ... -147.81 eV for the cell shown

Lattice parameters (Å, degrees): 3.557 7.916 9.075 104.20 101.30 90.00
Element x y z (fractional)
O  0.651  0.293  0.303
O  0.742  0.771  0.484
V  0.320  0.436  0.641
O  0.036  0.243  0.072
V  0.874  0.774  0.747
O  0.968  0.759  0.936
O  0.351  0.714  0.702
O  0.259  0.237  0.518
Ag  0.252  0.957  0.504
Ag  0.454  0.135  0.907
O  0.884  0.992  0.767
O  0.409  0.400  0.817
V  0.130  0.230  0.261
Ag  0.000  0.499  0.001
O  0.593  0.602  0.185
V  0.681  0.567  0.362
O  0.193  0.505  0.385
Ag  0.549  0.869  0.098
O  0.120  0.011  0.240
O  0.811  0.505  0.621

---

No. 2
NiHgCl2 | PBEsol | optimized geometry

ΔE_f (raw) ... -71.8 kJ/mol of formula units
Total energy ... -11.48 eV for the cell shown
E above lowest polymorph ... 200.3 meV per atom

Lattice parameters (Å, degrees): 3.279 3.634 8.365 90.00 90.00 116.82
Element x y z (fractional)
Hg  0.000  0.000  0.528
Cl  0.000  0.000  0.918
Ni  0.500  0.000  0.755
Cl  0.500  0.000  0.298